(1)
This record from the Alexandria database describes a geometry-optimized YTlHg2 structure. The functional is PBE.

V: 25.2 A^3/atom
Energy of formation from the pure elements: -0.217 eV per atom
Crystal system: cubic
Final energy: -2.575 eV per atom

a = 5.226 Å, b = 5.226 Å, c = 5.226 Å
α = 60.00°, β = 60.00°, γ = 60.00°
Atoms (fractional coordinates):
Tl 0.500 0.500 0.500
Hg 0.000 0.000 0.000
Hg 0.250 0.250 0.250
Y 0.750 0.750 0.750



(2)
This record from the Alexandria database describes a geometry-optimized MnNbFeSi structure. The functional is PBE.

V: 12.5 A^3/atom
ΔE_f (raw): -0.394 eV/atom
Crystal system: cubic
Final energy: -8.675 eV per atom

a = 4.137 Å, b = 4.137 Å, c = 4.137 Å
α = 60.00°, β = 60.00°, γ = 60.00°
Atoms (fractional coordinates):
Mn 0.000 0.000 0.000
Si 0.750 0.750 0.750
Fe 0.500 0.500 0.500
Nb 0.250 0.250 0.250



(3)
This record from the Alexandria database describes a geometry-optimized LiPrAlCo structure. The functional is PBE.

V: 17.7 A^3/atom
Energy of formation from the pure elements: -0.103 eV per atom
Crystal system: cubic
Final energy: -4.488 eV per atom

a = 4.648 Å, b = 4.648 Å, c = 4.648 Å
α = 60.00°, β = 60.00°, γ = 60.00°
Atoms (fractional coordinates):
Al 0.500 0.500 0.500
Li 0.750 0.750 0.750
Pr 0.000 0.000 0.000
Co 0.250 0.250 0.250



(4)
This record from the Alexandria database describes a geometry-optimized Pr7Pd2Pt2 structure. The functional is PBE.

V: 31.6 A^3/atom
Energy of formation from the pure elements: -0.489 eV per atom
Crystal system: orthorhombic
Final energy: -5.573 eV per atom

a = 7.034 Å, b = 7.212 Å, c = 7.034 Å
α = 90.00°, β = 103.02°, γ = 90.00°
Atoms (fractional coordinates):
Pr 0.500 0.739 0.000
Pr 0.500 0.747 0.500
Pr 0.500 0.261 0.000
Pr 0.000 0.739 0.500
Pr 0.000 0.000 0.000
Pr 0.000 0.261 0.500
Pr 0.500 0.253 0.500
Pt 0.722 0.000 0.278
Pt 0.278 0.000 0.722
Pd 0.229 0.500 0.229
Pd 0.771 0.500 0.771



(5)
This record from the Alexandria database describes a geometry-optimized K2HgSb structure. The functional is PBE.

V: 34.2 A^3/atom
Excess energy over the best structure of this formula in the dataset: 130.7 meV per atom
ΔE_f (raw): -0.206 eV/atom
Crystal system: tetragonal
Final energy: -1.861 eV per atom

a = 5.145 Å, b = 5.145 Å, c = 5.161 Å
α = 90.00°, β = 90.00°, γ = 90.00°
Atoms (fractional coordinates):
K 0.500 0.500 0.000
K 0.000 0.000 0.000
Hg 0.000 0.500 0.500
Sb 0.500 0.000 0.500



(6)
This record from the Alexandria database describes a geometry-optimized CrTcHg2 structure. The functional is PBE.

V: 20.2 A^3/atom
Excess energy over the best structure of this formula in the dataset: 633.1 meV per atom
Energy of formation from the pure elements: 0.961 eV per atom
Crystal system: tetragonal
Final energy: -4.188 eV per atom

a = 7.593 Å, b = 7.593 Å, c = 6.054 Å
α = 51.17°, β = 51.17°, γ = 90.00°
Each line ends with the local moment (μB).
Atoms (fractional coordinates):
Cr 0.500 0.500 0.000  3.63
Cr 0.250 0.750 0.500  3.62
Hg 0.875 0.876 0.750  0.05
Hg 0.124 0.625 0.250  0.05
Hg 0.375 0.374 0.750  0.05
Hg 0.626 0.125 0.250  0.06
Tc 0.750 0.250 0.500  -1.56
Tc 0.000 0.000 0.000  -1.56



(7)
This record from the Alexandria database describes a geometry-optimized AgRhSN2 structure. The functional is PBE.

V: 16.4 A^3/atom
Excess energy over the best structure of this formula in the dataset: 1102.9 meV per atom
ΔE_f (raw): 2.135 eV/atom
Crystal system: tetragonal
Final energy: -4.062 eV per atom

a = 3.934 Å, b = 3.934 Å, c = 5.310 Å
α = 90.00°, β = 90.00°, γ = 90.00°
Each line ends with the local moment (μB).
Atoms (fractional coordinates):
Ag 0.000 0.000 0.000  0.15
N 0.500 0.000 0.000  0.99
N 0.000 0.500 0.000  0.99
Rh 0.500 0.500 0.500  -0.62
S 0.000 0.000 0.500  0.06



(8)
This record from the Alexandria database describes a geometry-optimized CoHOs2W structure. The functional is PBE.

V: 11.5 A^3/atom
Crystal system: tetragonal
Final energy: -9.108 eV per atom

a = 3.908 Å, b = 3.908 Å, c = 3.749 Å
α = 90.00°, β = 90.00°, γ = 90.00°
Atoms (fractional coordinates):
H 0.000 0.000 0.000
W 0.500 0.500 0.500
Os 0.500 0.000 0.000
Os 0.000 0.500 0.000
Co 0.000 0.000 0.500